First-principles (PBE-GGA) data for a relaxed Dy2Tm5Hg crystal, as listed in OQMD.

Cell and atoms, written as POSCAR:
```
Dy2Tm5Hg
1.0
5.478 0.000 0.000
0.000 3.494 6.053
0.000 -3.494 6.053
Dy Tm Hg
2 5 1
Direct
0.000 0.000 0.000
0.500 0.341 0.341
0.000 0.513 0.999
0.000 0.999 0.513
0.500 0.340 0.834
0.500 0.834 0.340
0.500 0.837 0.837
0.000 0.507 0.507
```

Values from the calculation:
energy relative to the elements	-0.0373	eV/atom
symmetry	Amm2